# 1
The following is a PBE calculation of a geometry-optimized TlOs2Pt structure, from Alexandria via LeMat-Bulk.

Summary:
Formation energy from the elements: 490 meV/atom
Polymorph energy (0 for the lowest one): 0.104 eV/atom

abc: 2.848 3.845 6.151
angles: 90.00 90.00 90.00
Element x y z (fractional)
Os: 0.000 0.000 0.046
Os: 0.500 0.500 0.224
Pt: 0.000 0.000 0.484
Tl: 0.500 0.500 0.746

=====

# 2
The following is a PBE calculation of a geometry-optimized Tm3Fe3Bi structure, from Alexandria via LeMat-Bulk.

Summary:
Formation energy from the elements: -215 meV/atom

abc: 4.185 9.186 9.186
angles: 120.00 90.00 90.00
Element x y z (fractional)
Tm: 0.750 0.392 0.316
Tm: 0.750 0.924 0.608
Tm: 0.750 0.684 0.076
Tm: 0.250 0.608 0.684
Tm: 0.250 0.076 0.392
Tm: 0.250 0.316 0.924
Fe: 0.750 0.021 0.159
Fe: 0.750 0.138 0.979
Fe: 0.750 0.841 0.862
Fe: 0.250 0.979 0.841
Fe: 0.250 0.862 0.021
Fe: 0.250 0.159 0.138
Bi: 0.750 0.333 0.667
Bi: 0.250 0.667 0.333

=====

Here are the calculated density numbers, same order: 19.22; 9.59 (Mg/m³).
Here are the calculated magnetization numbers, same order: 0.0; 11.1 (Bohr magnetons per cell).